Record 1
MoRh3: optimized geometry, PBE-GGA.

As for the calculated density: 11.6 g/cm³. The value obtained for the calculated formation energy is -0.20 eV per atom. As for the total DFT energy (no corrections): -8.425 eV per atom. The value obtained for the total magnetization is 0.000 μB per atom.

Cell: 5.4801 5.4801 8.8768 Å, 90.00 90.00 120.00°
Last column: nearest neighbours and their distance in Å.
Element x y z (fractional)
Mo (0.0000, 0.0000, 0.0000)  12 Rh 2.73-2.74
Mo (0.0000, 0.0000, 0.5000)  12 Rh 2.73-2.74
Mo (0.3333, 0.6667, 0.2500)  12 Rh 2.73-2.74
Mo (0.6667, 0.3333, 0.7500)  12 Rh 2.73-2.74
Rh (0.0000, 0.5000, 0.0000)  8 Rh 2.72-2.74, 4 Mo 2.73-2.74
Rh (0.0000, 0.5000, 0.5000)  8 Rh 2.72-2.74, 4 Mo 2.73-2.74
Rh (0.1683, 0.3367, 0.7500)  8 Rh 2.71-2.77, 4 Mo 2.73-2.74
Rh (0.1683, 0.8317, 0.7500)  8 Rh 2.71-2.77, 4 Mo 2.73-2.74
Rh (0.3367, 0.1683, 0.2500)  8 Rh 2.71-2.77, 4 Mo 2.73-2.74
Rh (0.5000, 0.0000, 0.0000)  8 Rh 2.72-2.74, 4 Mo 2.73-2.74
Rh (0.5000, 0.0000, 0.5000)  8 Rh 2.72-2.74, 4 Mo 2.73-2.74
Rh (0.5000, 0.5000, 0.0000)  8 Rh 2.72-2.74, 4 Mo 2.73-2.74
Rh (0.5000, 0.5000, 0.5000)  8 Rh 2.72-2.74, 4 Mo 2.73-2.74
Rh (0.6633, 0.8317, 0.7500)  8 Rh 2.71-2.77, 4 Mo 2.73-2.74
Rh (0.8317, 0.1683, 0.2500)  8 Rh 2.71-2.77, 4 Mo 2.73-2.74
Rh (0.8317, 0.6633, 0.2500)  8 Rh 2.71-2.77, 4 Mo 2.73-2.74

=====

Record 2
Mo2Rh: optimized geometry, PBE-GGA.

As for the calculated density: 10.2 g/cm³. The value obtained for the calculated formation energy is 0.21 eV per atom. As for the total DFT energy (no corrections): -9.459 eV per atom. The value obtained for the total magnetization is 0.000 μB per atom.

Cell: 5.1350 5.1350 5.1350 Å, 60.00 60.00 60.00°
Last column: nearest neighbours and their distance in Å.
Element x y z (fractional)
Mo (0.1250, 0.6250, 0.1250)  6 Mo 2.57
Mo (0.1250, 0.1250, 0.6250)  6 Mo 2.57
Mo (0.6250, 0.1250, 0.1250)  6 Mo 2.57
Mo (0.1250, 0.1250, 0.1250)  6 Mo 2.57
Rh (0.7500, 0.7500, 0.7500)  12 Mo 3.01, 4 Rh 3.14
Rh (0.5000, 0.5000, 0.5000)  12 Mo 3.01, 4 Rh 3.14

=====

Record 3
MoRh3: optimized geometry, PBE-GGA.

As for the calculated density: 11.6 g/cm³. The value obtained for the calculated formation energy is -0.18 eV per atom. As for the total DFT energy (no corrections): -8.398 eV per atom. The value obtained for the total magnetization is 0.000 μB per atom.

Cell: 2.7640 4.3725 4.7886 Å, 90.00 90.00 90.00°
Last column: nearest neighbours and their distance in Å.
Element x y z (fractional)
Mo (0.0000, 0.0000, 0.0068)  10 Rh 2.69-2.80, 2 Mo 2.76
Rh (0.0000, 0.5000, 0.3327)  2 Mo 2.69, 10 Rh 2.70-2.78
Rh (0.5000, 0.0000, 0.4973)  8 Rh 2.70-2.76, 4 Mo 2.73-2.80
Rh (0.5000, 0.5000, 0.8301)  8 Rh 2.71-2.78, 4 Mo 2.72

=====

Record 4
MoRh: optimized geometry, PBE-GGA.

As for the calculated density: 10.9 g/cm³. The value obtained for the calculated formation energy is 0.10 eV per atom. As for the total DFT energy (no corrections): -8.993 eV per atom. The value obtained for the total magnetization is 0.000 μB per atom.

Cell: 4.4049 4.4049 4.4049 Å, 60.01 60.01 60.01°
Last column: nearest neighbours and their distance in Å.
Element x y z (fractional)
Mo (0.1250, 0.1250, 0.1250)  4 Mo 2.70, 4 Rh 2.70
Mo (0.8750, 0.8750, 0.8750)  4 Mo 2.70, 4 Rh 2.70
Rh (0.3750, 0.3750, 0.3750)  4 Rh 2.70, 4 Mo 2.70
Rh (0.6250, 0.6250, 0.6250)  4 Rh 2.70, 4 Mo 2.70